First-principles (PBE) data for an optimized crystal structure of HfTaC2, as listed in OQMD.

Unit cell a=3.2208 b=3.2208 c=4.5465 alpha=90.00 beta=90.00 gamma=90.00
With the nearest neighbours (Å) after each atom.
Fractional coordinates of all 4 atoms:
1 C 0.5000 0.5000 0.0000  2 Ta 2.27, 4 Hf 2.28
2 Hf 0.0000 0.0000 0.0000  6 C 2.27-2.28
3 C 0.0000 0.0000 0.5000  2 Hf 2.27, 4 Ta 2.28
4 Ta 0.5000 0.5000 0.5000  6 C 2.27-2.28

Properties
E in eV/f.u.: -43.39
SG: P4/mmm

---

First-principles (PBE) data for an optimized crystal structure of Hf2Ta4Zn3C3, as listed in OQMD.

Unit cell a=5.4703 b=5.4703 c=14.2319 alpha=101.26 beta=101.26 gamma=59.93
With the nearest neighbours (Å) after each atom.
Fractional coordinates of all 24 atoms:
1 Ta 0.9772 0.7993 0.4161  3 C 2.15-2.19
2 Zn 0.8652 0.5848 0.7514  4 Zn 2.78, 4 Ta 2.80-2.81
3 Hf 0.5349 0.3726 0.1017  3 C 2.29-2.33
4 Zn 0.4152 0.1348 0.7486  4 Zn 2.78, 4 Ta 2.80-2.81
5 C 0.1686 0.6656 0.0000  4 Ta 2.15-2.19, 2 Hf 2.29
6 Hf 0.4651 0.6274 0.8983  3 C 2.29-2.33
7 C 0.3344 0.8314 0.5000  4 Ta 2.15-2.19, 2 Hf 2.29
8 Ta 0.3049 0.1435 0.4161  3 C 2.15-2.19
9 Zn 0.5848 0.8652 0.2514  4 Zn 2.78, 4 Ta 2.80-2.81
10 C 0.8314 0.3344 0.0000  4 Ta 2.15-2.19, 2 Hf 2.29
11 Zn 0.1348 0.4152 0.2486  4 Zn 2.78, 4 Ta 2.80-2.81
12 C 0.5000 0.0000 0.0000  4 Ta 2.15, 2 Hf 2.33
13 Ta 0.7993 0.9772 0.9161  3 C 2.15-2.19
14 Ta 0.0228 0.2007 0.5839  3 C 2.15-2.19
15 C 0.6656 0.1686 0.5000  4 Ta 2.15-2.19, 2 Hf 2.29
16 Hf 0.3726 0.5349 0.6017  3 C 2.29-2.33
17 Ta 0.8565 0.6951 0.0839  3 C 2.15-2.19
18 Zn 0.0327 0.9673 0.2500  4 Zn 2.78, 4 Ta 2.81-2.82
19 Ta 0.2007 0.0228 0.0839  3 C 2.15-2.19
20 Zn 0.9673 0.0327 0.7500  4 Zn 2.78, 4 Ta 2.81-2.82
21 Hf 0.6274 0.4651 0.3983  3 C 2.29-2.33
22 C 0.0000 0.5000 0.5000  4 Ta 2.15, 2 Hf 2.33
23 Ta 0.1435 0.3049 0.9161  3 C 2.15-2.19
24 Ta 0.6951 0.8565 0.5839  3 C 2.15-2.19

Properties
E in eV/f.u.: -104.82
SG: C2/c

---

First-principles (PBE) data for an optimized crystal structure of TbHf3C, as listed in OQMD.

Unit cell a=4.6517 b=4.6517 c=4.6517 alpha=90.00 beta=90.00 gamma=90.00
With the nearest neighbours (Å) after each atom.
Fractional coordinates of all 5 atoms:
1 Hf 0.5000 0.0000 0.5000  2 C 2.33
2 Hf 0.5000 0.5000 0.0000  2 C 2.33
3 Hf 0.0000 0.5000 0.5000  2 C 2.33
4 Tb 0.0000 0.0000 0.0000  12 Hf 3.29
5 C 0.5000 0.5000 0.5000  6 Hf 2.33

Properties
E in eV/f.u.: -44.33
SG: Pm-3m

---

First-principles (PBE) data for an optimized crystal structure of TbHf2C3, as listed in OQMD.

Unit cell a=3.3685 b=3.3685 c=8.3669 alpha=90.00 beta=90.00 gamma=120.00
With the nearest neighbours (Å) after each atom.
Fractional coordinates of all 6 atoms:
1 C 0.3333 0.6667 0.6898  3 Hf 2.31, 3 Tb 2.51
2 C 0.6667 0.3333 0.3102  3 Hf 2.31, 3 Tb 2.51
3 Tb 0.0000 0.0000 0.5000  6 C 2.51
4 Hf 0.3333 0.6667 0.1605  6 C 2.31-2.36
5 Hf 0.6667 0.3333 0.8395  6 C 2.31-2.36
6 C 0.0000 0.0000 0.0000  6 Hf 2.36

Properties
E in eV/f.u.: -55.76
SG: P-3m1

---

First-principles (PBE) data for an optimized crystal structure of Tb3HfTe2C2, as listed in OQMD.

Unit cell a=3.7385 b=3.7385 c=14.0004 alpha=90.00 beta=90.00 gamma=120.00
With the nearest neighbours (Å) after each atom.
Fractional coordinates of all 8 atoms:
1 C 0.3333 0.6667 0.5046  6 Tb 2.52-2.55
2 Te 0.6667 0.3333 0.7650  3 Hf 2.96, 3 Tb 3.18
3 Tb 0.0000 0.0000 0.5977  3 C 2.52
4 Te 0.0000 0.0000 0.2457  6 Tb 3.09-3.13
5 C 0.3333 0.6667 0.9829  3 Hf 2.39, 3 Tb 2.61
6 Tb 0.6667 0.3333 0.4073  3 C 2.55
7 Tb 0.6667 0.3333 0.0876  3 C 2.61
8 Hf 0.0000 0.0000 0.9093  3 C 2.39

Properties
E in eV/f.u.: -55.22
SG: P3m1

---

First-principles (PBE) data for an optimized crystal structure of HfTcC, as listed in OQMD.

Unit cell a=3.7101 b=3.7101 c=3.9781 alpha=90.00 beta=90.00 gamma=90.00
With the nearest neighbours (Å) after each atom.
Fractional coordinates of all 3 atoms:
1 Tc 0.5000 0.5000 0.0000  2 C 1.99
2 Hf 0.0000 0.0000 0.0000  4 Tc 2.62
3 C 0.5000 0.5000 0.5000  2 Tc 1.99

Properties
E in eV/f.u.: -26.39
SG: P4/mmm

---

In order of appearance, M_tot = 0.00; 0.00; 0.00; 0.00; 0.00; 0.00 μB per atom.